## TiCuMoAs2 (GGA-PBE)

Data for an optimized crystal structure of TiCuMoAs2.

Output
Its formation energy from the elements is 0.98 eV/atom. The density comes out at 6028 kg/m3. The total moment is 0.82 Bohr magnetons per cell. Its density of states at the Fermi level is 1.168 states/eV per atom.

a = 4.5664 Å, b = 4.5664 Å, c = 4.7193 Å
α = 90.00°, β = 90.00°, γ = 90.00°
Closest atoms and distances in Å follow each position.
Space group P4/mmm (No. 123)
One atom of each set of equivalent atoms:
1 Ti 0.0000 0.0000 0.0000 [1 per cell]  4 Mo 3.23, 8 As 3.28
2 Cu 0.5000 0.5000 0.5000 [1 per cell]  4 As 2.28, 2 Mo 2.36
3 Mo 0.5000 0.5000 0.0000 [1 per cell]  2 Cu 2.36
4 As 0.0000 0.5000 0.5000 [2 per cell]  2 Cu 2.28



## Zr2CuMoAs (GGA-PBE)

Data for an optimized crystal structure of Zr2CuMoAs.

Output
Its formation energy from the elements is 0.57 eV/atom. The density comes out at 6063 kg/m3. The total moment is 0.00 Bohr magnetons per cell. Its density of states at the Fermi level is 0.425 states/eV per atom.

a = 5.0046 Å, b = 5.0046 Å, c = 4.5586 Å
α = 90.00°, β = 90.00°, γ = 90.00°
Closest atoms and distances in Å follow each position.
Space group P4/mmm (No. 123)
One atom of each set of equivalent atoms:
1 Zr 0.0000 0.5000 0.0000 [2 per cell]  2 As 2.50
2 Cu 0.0000 0.0000 0.5000 [1 per cell]  8 Zr 3.38, 4 Mo 3.54
3 Mo 0.5000 0.5000 0.5000 [1 per cell]  2 As 2.28
4 As 0.5000 0.5000 0.0000 [1 per cell]  2 Mo 2.28, 4 Zr 2.50



## Cu3AsN (GGA-PBE)

Data for an optimized crystal structure of Cu3AsN.

Output
The density comes out at 7351 kg/m3. The total moment is 0.00 Bohr magnetons per cell. Its density of states at the Fermi level is 0.771 states/eV per atom. Its formation energy (no corrections) is 0.42 eV per atom.

a = 3.9822 Å, b = 3.9822 Å, c = 3.9822 Å
α = 90.00°, β = 90.00°, γ = 90.00°
Closest atoms and distances in Å follow each position.
Space group Pm-3m (No. 221)
One atom of each set of equivalent atoms:
1 Cu 0.0000 0.0000 0.5000 [3 per cell]  2 N 1.99
2 As 0.5000 0.5000 0.5000 [1 per cell]  12 Cu 2.82
3 N 0.0000 0.0000 0.0000 [1 per cell]  6 Cu 1.99



## CuAsN2 (GGA-PBE)

Data for an optimized crystal structure of CuAsN2.

Output
The density comes out at 5995 kg/m3. The total moment is 0.00 Bohr magnetons per cell. Its density of states at the Fermi level is 0.178 states/eV per atom. Its formation energy (no corrections) is 0.48 eV per atom.

a = 4.6325 Å, b = 4.6325 Å, c = 8.5945 Å
α = 90.00°, β = 90.00°, γ = 90.00°
Closest atoms and distances in Å follow each position.
Space group I-42d (No. 122)
One atom of each set of equivalent atoms:
1 Cu 0.0000 0.0000 0.0000 [4 per cell]  4 N 2.07
2 As 0.0000 0.0000 0.5000 [4 per cell]  4 N 1.86
3 N 0.2107 0.2500 0.6250 [8 per cell]  2 As 1.86, 2 Cu 2.07



## CuAsN2 (GGA-PBE)

Data for an optimized crystal structure of CuAsN2.

Output
The density comes out at 6279 kg/m3. The total moment is 0.00 Bohr magnetons per cell. Its density of states at the Fermi level is 0.012 states/eV per atom. Its formation energy (no corrections) is 0.46 eV per atom.

a = 2.9561 Å, b = 2.9561 Å, c = 17.4540 Å
α = 90.00°, β = 90.00°, γ = 120.00°
Closest atoms and distances in Å follow each position.
Space group R-3m (No. 166, hexagonal axes)
One atom of each set of equivalent atoms:
1 Cu 0.0000 0.0000 0.0000 [3 per cell]  2 N 1.87
2 As 0.0000 0.0000 0.5000 [3 per cell]  6 N 2.00
3 N 0.0000 0.0000 0.1074 [6 per cell]  1 Cu 1.87, 3 As 2.00



## Cu2AsN (GGA-PBE)

Data for an optimized crystal structure of Cu2AsN.

Output
The density comes out at 7321 kg/m3. The total moment is 0.00 Bohr magnetons per cell. Its density of states at the Fermi level is 0.425 states/eV per atom. Its formation energy (no corrections) is 0.96 eV per atom.

a = 5.8087 Å, b = 5.8087 Å, c = 5.8087 Å
α = 90.00°, β = 90.00°, γ = 90.00°
Closest atoms and distances in Å follow each position.
Space group Fm-3m (No. 225)
One atom of each set of equivalent atoms:
1 Cu 0.2500 0.2500 0.2500 [8 per cell]  4 As 2.52, 4 N 2.52
2 As 0.0000 0.0000 0.0000 [4 per cell]  8 Cu 2.52
3 N 0.0000 0.0000 0.5000 [4 per cell]  8 Cu 2.52



## CuAsN2 (GGA-PBE)

Data for an optimized crystal structure of CuAsN2.

Output
The density comes out at 6011 kg/m3. The total moment is 0.00 Bohr magnetons per cell. Its density of states at the Fermi level is 0.484 states/eV per atom. Its formation energy (no corrections) is 1.02 eV per atom.

a = 3.0239 Å, b = 3.0239 Å, c = 17.4237 Å
α = 90.00°, β = 90.00°, γ = 120.00°
Closest atoms and distances in Å follow each position.
Space group R-3m (No. 166, hexagonal axes)
One atom of each set of equivalent atoms:
1 Cu 0.0000 0.0000 0.0000 [3 per cell]  6 N 2.01
2 As 0.0000 0.0000 0.5000 [3 per cell]  2 N 1.92
3 N 0.0000 0.0000 0.3901 [6 per cell]  1 As 1.92, 3 Cu 2.01



## Cu2AsN (GGA-PBE)

Data for an optimized crystal structure of Cu2AsN.

Output
The density comes out at 6106 kg/m3. The total moment is 0.00 Bohr magnetons per cell. Its density of states at the Fermi level is 0.744 states/eV per atom. Its formation energy (no corrections) is 0.55 eV per atom.

a = 5.1845 Å, b = 5.1845 Å, c = 8.7421 Å
α = 90.00°, β = 90.00°, γ = 90.00°
Closest atoms and distances in Å follow each position.
Space group I-42d (No. 122)
One atom of each set of equivalent atoms:
1 Cu 0.1603 0.2500 0.1250 [8 per cell]  2 N 1.89
2 As 0.0000 0.0000 0.5000 [4 per cell]  4 Cu 2.44
3 N 0.0000 0.0000 0.0000 [4 per cell]  4 Cu 1.89